(1)
First-principles (PBE) data for LaYScCd after structural relaxation, as listed in Alexandria via LeMat-Bulk.

Cell lengths 5.4599, 5.4599, 5.4599 Å; angles 60.00, 60.00, 60.00 degrees
With the nearest neighbours (Å) after each atom.
Sites, in units of the cell vectors:
Cd 0.5000 0.5000 0.5000  4 Y 3.34, 4 La 3.34
Sc 0.0000 0.0000 0.0000  4 La 3.34, 4 Y 3.34
Y 0.7500 0.7500 0.7500  4 Cd 3.34, 4 Sc 3.34
La 0.2500 0.2500 0.2500  4 Cd 3.34, 4 Sc 3.34

VASP energy: -18.889 eV for the cell shown
Density of states at the Fermi level: 5.37 states/eV/f.u.
Space-group type: F-43m, No. 216
ΔH_f (0 K): -0.06 eV/atom
Calculated volume: 28.8 Å³ per atom
Polymorph energy (0 for the lowest one): 60.8 meV per atom

=====

(2)
First-principles (PBE) data for LaCdSe2 after structural relaxation, as listed in Alexandria via LeMat-Bulk.

Cell lengths 6.4581, 6.4581, 6.4581 Å; angles 141.95, 141.95, 54.90 degrees
With the nearest neighbours (Å) after each atom.
Sites, in units of the cell vectors:
La 0.7500 0.2500 0.5000  4 Se 2.98
Se 0.0000 0.0000 0.0000  4 Cd 2.98
Cd 0.5000 0.5000 0.0000  4 Se 2.98
Se 0.2500 0.7500 0.5000  4 La 2.98

Uncorrected formation energy: -1110 meV/atom
VASP energy: -17.252 eV for the cell shown
Density of states at the Fermi level: 0.97 states/eV/f.u.
Space-group type: I-4m2, No. 119
Calculated volume: 25.4 Å³ per atom

=====

(3)
First-principles (PBE) data for LaCdSe2 after structural relaxation, as listed in Alexandria via LeMat-Bulk.

Cell lengths 5.2271, 5.2271, 5.2271 Å; angles 60.00, 60.00, 60.00 degrees
With the nearest neighbours (Å) after each atom.
Sites, in units of the cell vectors:
La 0.2500 0.2500 0.2500  4 Cd 3.20, 4 Se 3.20
Se 0.0000 0.0000 0.0000  4 Se 3.20, 4 La 3.20
Se 0.7500 0.7500 0.7500  4 Cd 3.20, 4 Se 3.20
Cd 0.5000 0.5000 0.5000  4 La 3.20, 4 Se 3.20

Uncorrected formation energy: -685 meV/atom
VASP energy: -15.550 eV for the cell shown
Density of states at the Fermi level: 3.44 states/eV/f.u.
Space-group type: F-43m, No. 216
Calculated volume: 25.2 Å³ per atom

=====

(4)
First-principles (PBE) data for LaCdSe2 after structural relaxation, as listed in Alexandria via LeMat-Bulk.

Cell lengths 4.2584, 4.2584, 6.1014 Å; angles 90.00, 90.00, 90.00 degrees
With the nearest neighbours (Å) after each atom.
Sites, in units of the cell vectors:
Se 0.5000 0.5000 0.3753  4 Cd 3.01, 2 La 3.05
La 0.5000 0.5000 0.8758  6 Se 3.01-3.05
Cd 0.0000 0.0000 0.3747  6 Se 3.01-3.05
Se 0.0000 0.0000 0.8743  4 La 3.01, 2 Cd 3.05

Uncorrected formation energy: -1255 meV/atom
VASP energy: -17.832 eV for the cell shown
Density of states at the Fermi level: 1.34 states/eV/f.u.
Space-group type: P4mm, No. 99
Calculated volume: 27.7 Å³ per atom

=====

> Which formula does entry 1 have?

LaYScCd